1.
VASP calculation (PBE) on a relaxed Th4FeTc crystal.

Unit cell a=5.614 b=6.787 c=8.012 alpha=90.00 beta=89.95 gamma=90.00
Atoms (fractional coordinates):
Th 0.750 0.980 0.330
Tc 0.250 0.750 0.411
Th 0.250 0.020 0.670
Th 0.750 0.750 0.723
Th 0.250 0.250 0.277
Fe 0.250 0.250 0.965
Tc 0.750 0.250 0.589
Th 0.750 0.250 0.943
Th 0.750 0.520 0.330
Fe 0.750 0.750 0.035
Th 0.250 0.750 0.057
Th 0.250 0.480 0.670

DFT formation energy, eV/atom: 0.02
Symmetry: P2_1/m



2.
VASP calculation (PBE) on a relaxed Th3Fe7Tc2 crystal.

Unit cell a=5.126 b=5.126 c=9.126 alpha=73.69 beta=73.69 gamma=60.00
Atoms (fractional coordinates):
Fe 0.500 0.500 0.500
Fe 0.583 0.583 0.748
Th 0.140 0.140 0.579
Fe 0.583 0.086 0.748
Th 0.860 0.860 0.421
Fe 0.417 0.417 0.252
Fe 0.914 0.417 0.252
Th 0.000 0.000 0.000
Tc 0.669 0.669 0.994
Fe 0.417 0.914 0.252
Fe 0.086 0.583 0.748
Tc 0.331 0.331 0.006

DFT formation energy, eV/atom: -0.03
Symmetry: R-3m



3.
VASP calculation (PBE) on a relaxed TmThFeTc crystal.

Unit cell a=4.862 b=4.862 c=4.862 alpha=60.00 beta=60.00 gamma=60.00
Atoms (fractional coordinates):
Tm 0.500 0.500 0.500
Th 0.000 0.000 0.000
Fe 0.250 0.250 0.250
Tc 0.750 0.750 0.750

DFT formation energy, eV/atom: 0.00
Symmetry: F-43m



Number 1: DOS at the Fermi energy 11.309 states/eV per cell. Number 2: DOS at the Fermi energy 14.655 states/eV per cell. Number 3: DOS at the Fermi energy 5.489 states/eV per cell.